No. 1
# MgPd3Cl PBE optimized geometry
data_MgPd3Cl
_chemical_formula_sum 'Mg1 Pd3 Cl1'
_cell_length_a 4.607
_cell_length_b 4.607
_cell_length_c 4.607
_cell_angle_alpha 90.00
_cell_angle_beta 90.00
_cell_angle_gamma 90.00
_space_group_name_H-M_alt 'P 1'
_space_group_IT_number 1
_space_group_name_Hall 'P 1'
loop_
_atom_site_label
_atom_site_type_symbol
_atom_site_fract_x
_atom_site_fract_y
_atom_site_fract_z
Mg1 Mg 0.500 0.500 0.500
Pd1 Pd 0.000 0.500 0.000
Pd2 Pd 0.000 0.000 0.500
Pd3 Pd 0.500 0.000 0.000
Cl1 Cl 0.000 0.000 0.000
# DFT total energy   -3.61 eV per atom
# Distance to the lowest polymorph of the same formula   0 meV/atom
# SG   Pm-3m
# Uncorrected formation energy   191 meV/atom


No. 2
# Cd5Hg3H2 PBE optimized geometry
data_Cd5Hg3H2
_chemical_formula_sum 'Cd10 Hg6 H4'
_cell_length_a 6.865
_cell_length_b 11.637
_cell_length_c 11.612
_cell_angle_alpha 139.73
_cell_angle_beta 103.83
_cell_angle_gamma 103.76
_space_group_name_H-M_alt 'P 1'
_space_group_IT_number 1
_space_group_name_Hall 'P 1'
loop_
_atom_site_label
_atom_site_type_symbol
_atom_site_fract_x
_atom_site_fract_y
_atom_site_fract_z
Cd1 Cd 0.538 0.234 0.908
Cd2 Cd 0.036 0.903 0.232
Cd3 Cd 0.462 0.766 0.092
Cd4 Cd 0.964 0.097 0.768
Cd5 Cd 0.995 0.671 0.823
Cd6 Cd 0.005 0.329 0.177
Cd7 Cd 0.744 0.541 0.449
Cd8 Cd 0.256 0.459 0.551
Cd9 Cd 0.497 0.171 0.323
Cd10 Cd 0.503 0.829 0.677
Hg1 Hg 0.537 0.401 0.730
Hg2 Hg 0.039 0.732 0.406
Hg3 Hg 0.463 0.599 0.270
Hg4 Hg 0.961 0.268 0.594
Hg5 Hg 0.244 0.040 0.950
Hg6 Hg 0.756 0.960 0.050
H1 H 0.070 0.839 0.341
H2 H 0.570 0.339 0.840
H3 H 0.930 0.161 0.659
H4 H 0.430 0.661 0.160
# DFT total energy   -1.07 eV per atom
# SG   P-1


No. 3
# CsTeSe2N PBE optimized geometry
data_CsTeSe2N
_chemical_formula_sum 'Cs1 Te1 Se2 N1'
_cell_length_a 5.623
_cell_length_b 5.623
_cell_length_c 4.469
_cell_angle_alpha 90.00
_cell_angle_beta 90.00
_cell_angle_gamma 90.00
_space_group_name_H-M_alt 'P 1'
_space_group_IT_number 1
_space_group_name_Hall 'P 1'
loop_
_atom_site_label
_atom_site_type_symbol
_atom_site_fract_x
_atom_site_fract_y
_atom_site_fract_z
Cs1 Cs 0.500 0.500 0.500
Te1 Te 0.000 0.000 0.000
Se1 Se 0.000 0.500 0.000
Se2 Se 0.500 0.000 0.000
N1 N 0.000 0.000 0.500
# DFT total energy   -3.47 eV per atom
# Distance to the lowest polymorph of the same formula   0 meV/atom
# SG   P4/mmm
# Uncorrected formation energy   386 meV/atom


No. 4
# NbAu2I6 PBE optimized geometry
data_NbAu2I6
_chemical_formula_sum 'Nb2 Au4 I12'
_cell_length_a 7.167
_cell_length_b 10.893
_cell_length_c 10.893
_cell_angle_alpha 93.58
_cell_angle_beta 86.87
_cell_angle_gamma 86.87
_space_group_name_H-M_alt 'P 1'
_space_group_IT_number 1
_space_group_name_Hall 'P 1'
loop_
_atom_site_label
_atom_site_type_symbol
_atom_site_fract_x
_atom_site_fract_y
_atom_site_fract_z
Nb1 Nb 0.250 0.081 0.919
Nb2 Nb 0.750 0.919 0.081
Au1 Au 0.225 0.602 0.603
Au2 Au 0.275 0.397 0.398
Au3 Au 0.775 0.398 0.397
Au4 Au 0.725 0.603 0.602
I1 I 0.472 0.733 0.496
I2 I 0.028 0.504 0.267
I3 I 0.528 0.267 0.504
I4 I 0.972 0.496 0.733
I5 I 0.868 0.933 0.311
I6 I 0.632 0.689 0.067
I7 I 0.132 0.067 0.689
I8 I 0.368 0.311 0.933
I9 I 0.098 0.839 0.959
I10 I 0.402 0.041 0.161
I11 I 0.902 0.161 0.041
I12 I 0.598 0.959 0.839
# DFT total energy   -3.13 eV per atom
# SG   C2/c
# Uncorrected formation energy   -250 meV/atom


No. 5
# KUIn2Cl8 PBE optimized geometry
data_KUIn2Cl8
_chemical_formula_sum 'K1 U1 In2 Cl8'
_cell_length_a 7.028
_cell_length_b 7.200
_cell_length_c 9.168
_cell_angle_alpha 89.84
_cell_angle_beta 90.07
_cell_angle_gamma 92.22
_space_group_name_H-M_alt 'P 1'
_space_group_IT_number 1
_space_group_name_Hall 'P 1'
loop_
_atom_site_label
_atom_site_type_symbol
_atom_site_fract_x
_atom_site_fract_y
_atom_site_fract_z
K1 K 0.000 0.000 0.500
U1 U 0.000 0.000 0.000
In1 In 0.501 0.499 0.731
In2 In 0.499 0.501 0.269
Cl1 Cl 0.127 0.788 0.200
Cl2 Cl 0.690 0.812 0.999
Cl3 Cl 0.872 0.211 0.198
Cl4 Cl 0.873 0.212 0.800
Cl5 Cl 0.310 0.188 0.001
Cl6 Cl 0.128 0.789 0.802
Cl7 Cl 0.656 0.713 0.500
Cl8 Cl 0.344 0.287 0.500
# DFT total energy   -4.16 eV per atom
# SG   P-1
# Uncorrected formation energy   -1439 meV/atom


No. 6
# La3Pm4TmTe8 PBE optimized geometry
data_La3Pm4TmTe8
_chemical_formula_sum 'La3 Pm4 Tm1 Te8'
_cell_length_a 9.009
_cell_length_b 8.960
_cell_length_c 9.000
_cell_angle_alpha 120.09
_cell_angle_beta 120.03
_cell_angle_gamma 90.00
_space_group_name_H-M_alt 'P 1'
_space_group_IT_number 1
_space_group_name_Hall 'P 1'
loop_
_atom_site_label
_atom_site_type_symbol
_atom_site_fract_x
_atom_site_fract_y
_atom_site_fract_z
La1 La 0.500 0.500 0.000
La2 La 0.500 0.500 0.500
La3 La 0.000 0.500 0.500
Pm1 Pm 0.500 0.000 0.000
Pm2 Pm 0.500 0.000 0.500
Pm3 Pm 0.000 0.000 0.000
Pm4 Pm 0.000 0.000 0.500
Tm1 Tm 0.000 0.500 0.000
Te1 Te 0.245 0.749 0.005
Te2 Te 0.245 0.749 0.489
Te3 Te 0.248 0.243 0.495
Te4 Te 0.760 0.749 0.005
Te5 Te 0.240 0.251 0.995
Te6 Te 0.752 0.757 0.505
Te7 Te 0.755 0.251 0.511
Te8 Te 0.755 0.251 0.995
# DFT total energy   -5.40 eV per atom
# SG   R-3m
# Uncorrected formation energy   -1441 meV/atom


No. 7
# TlTcTeI2 PBE optimized geometry
data_TlTcTeI2
_chemical_formula_sum 'Tl1 Tc1 Te1 I2'
_cell_length_a 5.791
_cell_length_b 5.791
_cell_length_c 5.081
_cell_angle_alpha 90.00
_cell_angle_beta 90.00
_cell_angle_gamma 90.00
_space_group_name_H-M_alt 'P 1'
_space_group_IT_number 1
_space_group_name_Hall 'P 1'
loop_
_atom_site_label
_atom_site_type_symbol
_atom_site_fract_x
_atom_site_fract_y
_atom_site_fract_z
I1 I 0.000 0.500 0.000
I2 I 0.500 0.000 0.000
Tl1 Tl 0.500 0.500 0.500
Te1 Te 0.000 0.000 0.500
Tc1 Tc 0.000 0.000 0.000
# DFT total energy   -3.67 eV per atom
# Distance to the lowest polymorph of the same formula   0 meV/atom
# SG   P4/mmm
# Uncorrected formation energy   121 meV/atom


No. 8
# Pm4NdDy2Er2 PBE optimized geometry
data_Pm4NdDy2Er2
_chemical_formula_sum 'Pm4 Nd1 Dy2 Er2'
_cell_length_a 5.076
_cell_length_b 8.047
_cell_length_c 8.042
_cell_angle_alpha 107.38
_cell_angle_beta 90.00
_cell_angle_gamma 108.39
_space_group_name_H-M_alt 'P 1'
_space_group_IT_number 1
_space_group_name_Hall 'P 1'
loop_
_atom_site_label
_atom_site_type_symbol
_atom_site_fract_x
_atom_site_fract_y
_atom_site_fract_z
Pm1 Pm 0.777 0.554 0.668
Pm2 Pm 0.223 0.446 0.332
Pm3 Pm 0.555 0.109 0.332
Pm4 Pm 0.445 0.891 0.668
Nd1 Nd 0.000 0.000 0.000
Dy1 Dy 0.889 0.777 0.332
Dy2 Dy 0.111 0.223 0.668
Er1 Er 0.332 0.663 0.001
Er2 Er 0.668 0.337 0.999
# DFT total energy   -4.66 eV per atom
# SG   C2/m
# DFT formation energy   17.9 meV/atom


No. 9
# CaLa2Rh PBE optimized geometry
data_CaLa2Rh
_chemical_formula_sum 'Ca1 La2 Rh1'
_cell_length_a 6.232
_cell_length_b 6.232
_cell_length_c 3.497
_cell_angle_alpha 76.80
_cell_angle_beta 76.80
_cell_angle_gamma 116.56
_space_group_name_H-M_alt 'P 1'
_space_group_IT_number 1
_space_group_name_Hall 'P 1'
loop_
_atom_site_label
_atom_site_type_symbol
_atom_site_fract_x
_atom_site_fract_y
_atom_site_fract_z
Ca1 Ca 0.000 0.500 0.500
Rh1 Rh 0.500 0.000 0.500
La1 La 0.000 0.000 0.000
La2 La 0.500 0.500 0.000
# DFT total energy   -4.71 eV per atom
# Distance to the lowest polymorph of the same formula   499 meV/atom
# SG   C2/m
# DFT formation energy   94.6 meV/atom


No. 10
# ZnMo2ICl PBE optimized geometry
data_ZnMo2ICl
_chemical_formula_sum 'Zn1 Mo2 I1 Cl1'
_cell_length_a 5.091
_cell_length_b 4.746
_cell_length_c 5.091
_cell_angle_alpha 90.00
_cell_angle_beta 90.00
_cell_angle_gamma 90.00
_space_group_name_H-M_alt 'P 1'
_space_group_IT_number 1
_space_group_name_Hall 'P 1'
loop_
_atom_site_label
_atom_site_type_symbol
_atom_site_fract_x
_atom_site_fract_y
_atom_site_fract_z
I1 I 0.500 0.500 0.500
Mo1 Mo 0.000 0.000 0.500
Mo2 Mo 0.500 0.000 0.000
Zn1 Zn 0.000 0.000 0.000
Cl1 Cl 0.000 0.500 0.000
# DFT total energy   -3.90 eV per atom
# SG   P4/mmm
# Uncorrected formation energy   1368 meV/atom


No. 11
# ScSi2Tc3 PBE optimized geometry
data_ScSi2Tc3
_chemical_formula_sum 'Sc3 Si6 Tc9'
_cell_length_a 4.071
_cell_length_b 8.232
_cell_length_c 9.248
_cell_angle_alpha 104.98
_cell_angle_beta 90.00
_cell_angle_gamma 104.32
_space_group_name_H-M_alt 'P 1'
_space_group_IT_number 1
_space_group_name_Hall 'P 1'
loop_
_atom_site_label
_atom_site_type_symbol
_atom_site_fract_x
_atom_site_fract_y
_atom_site_fract_z
Sc1 Sc 0.160 0.320 0.727
Sc2 Sc 0.840 0.680 0.273
Sc3 Sc 0.000 0.000 0.000
Si1 Si 0.202 0.404 0.128
Si2 Si 0.798 0.596 0.872
Si3 Si 0.461 0.922 0.205
Si4 Si 0.539 0.078 0.795
Si5 Si 0.350 0.700 0.506
Si6 Si 0.650 0.300 0.494
Tc1 Tc 0.037 0.073 0.361
Tc2 Tc 0.963 0.927 0.639
Tc3 Tc 0.199 0.398 0.388
Tc4 Tc 0.801 0.602 0.612
Tc5 Tc 0.620 0.241 0.212
Tc6 Tc 0.380 0.759 0.788
Tc7 Tc 0.500 0.000 0.500
Tc8 Tc 0.324 0.649 0.012
Tc9 Tc 0.676 0.351 0.988
# DFT total energy   -8.47 eV per atom
# SG   C2/m
# Uncorrected formation energy   -426 meV/atom


No. 12
# AcPrZnSn PBE optimized geometry
data_AcPrZnSn
_chemical_formula_sum 'Ac1 Pr1 Zn1 Sn1'
_cell_length_a 5.545
_cell_length_b 5.545
_cell_length_c 5.545
_cell_angle_alpha 60.00
_cell_angle_beta 60.00
_cell_angle_gamma 60.00
_space_group_name_H-M_alt 'P 1'
_space_group_IT_number 1
_space_group_name_Hall 'P 1'
loop_
_atom_site_label
_atom_site_type_symbol
_atom_site_fract_x
_atom_site_fract_y
_atom_site_fract_z
Pr1 Pr 0.500 0.500 0.500
Zn1 Zn 0.750 0.750 0.750
Ac1 Ac 0.000 0.000 0.000
Sn1 Sn 0.250 0.250 0.250
# DFT total energy   -4.00 eV per atom
# SG   F-43m
# DFT formation energy   -459.6 meV/atom